The following is a GGA-PBE calculation of a geometry-optimized Cd2FeSe structure, from Alexandria.

As for the crystal system: orthorhombic. As for the magnetic moment: 6.0 Bohr magnetons per cell.

The structure belongs to space group Cmmm (No. 65); the cell edges are 5.4068, 8.3521 and 3.5417 Å and the angles 90.00°, 90.00° and 90.00°. The asymmetric unit holds Cd at (0.2500, 0.2500, 0.0000), Fe at (0.0000, 0.0000, 0.5000) and Se at (0.0000, 0.5000, 0.5000).

The following is a GGA-PBE calculation of a geometry-optimized Cd2FeSe structure, from Alexandria.

As for the crystal system: monoclinic. As for the magnetic moment: 3.1 Bohr magnetons per cell.

The structure belongs to space group P2/m (No. 10); the cell edges are 3.4844, 5.3229 and 4.4103 Å and the angles 90.00°, 91.58° and 90.00°. The asymmetric unit holds Cd at (0.2472, 0.0000, 0.2456), Fe at (0.0000, 0.5000, 0.0000) and Se at (0.5000, 0.5000, 0.5000).

no.,uncorrected formation energy (meV/atom),energy (eV/atom)
1,296,-3.15
2,345,-3.10